Material: SrLiThSe3
Method: DFT, PBE-GGA
State: relaxed

POSCAR file:
```
SrLiThSe3
1.0
8.920 0.000 0.000
0.000 4.157 0.000
-2.260 0.000 8.806
Sr Li Th Se
2 2 2 6
direct
0.184 0.250 0.236
0.816 0.750 0.764
0.083 0.250 0.589
0.917 0.750 0.411
0.343 0.750 0.850
0.657 0.250 0.150
0.106 0.250 0.870
0.210 0.750 0.517
0.432 0.750 0.191
0.568 0.250 0.809
0.790 0.250 0.483
0.894 0.750 0.130
```

Summary:
**Total energy**: -5.2157 eV/atom
**Formation energy from raw total energies**: -1.6376 eV per atom

Material: GaINO2
Method: DFT, PBE-GGA
State: relaxed

POSCAR file:
```
GaINO2
1.0
3.846 0.000 0.000
0.000 3.846 0.000
0.000 0.000 4.119
Ga I N O
1 1 1 2
direct
0.000 0.000 0.000
0.500 0.500 0.500
0.000 0.000 0.500
0.000 0.500 0.000
0.500 0.000 0.000
```

Summary:
**Total energy**: -4.2494 eV/atom
**Formation energy from raw total energies**: 0.3144 eV per atom

Material: TlPIr2
Method: DFT, PBE-GGA
State: relaxed

POSCAR file:
```
TlPIr2
1.0
4.618 0.000 0.000
0.000 4.618 0.000
0.000 0.000 3.083
Tl P Ir
1 1 2
direct
0.000 0.000 0.000
0.500 0.500 0.000
0.000 0.500 0.500
0.500 0.000 0.500
```

Summary:
**Total energy**: -5.7720 eV/atom
**Energy relative to the elements**: 2.4 eV per formula unit

Material: HfTa2Cd
Method: DFT, PBE-GGA
State: relaxed

POSCAR file:
```
HfTa2Cd
1.0
-2.020 2.020 10.307
2.020 -2.020 10.307
2.020 2.020 -10.307
Hf Ta Cd
2 4 2
direct
0.000 0.000 0.000
0.750 0.250 0.500
0.117 0.625 0.992
0.375 0.367 0.492
0.633 0.125 0.008
0.875 0.883 0.508
0.250 0.750 0.500
0.500 0.500 0.000
```

Summary:
**Total energy**: -8.0096 eV/atom
**Energy relative to the elements**: 2.5 eV per formula unit

Which value of total energy does entry 1 give?
-5.2157 eV/atom

The lowest total energy belongs to which entry?
HfTa2Cd

The highest total energy belongs to which entry?
GaINO2

Repeat the second record exactly.
Material: GaINO2
Method: DFT, PBE-GGA
State: relaxed

POSCAR file:
```
GaINO2
1.0
3.846 0.000 0.000
0.000 3.846 0.000
0.000 0.000 4.119
Ga I N O
1 1 1 2
direct
0.000 0.000 0.000
0.500 0.500 0.500
0.000 0.000 0.500
0.000 0.500 0.000
0.500 0.000 0.000
```

Summary:
**Total energy**: -4.2494 eV/atom
**Formation energy from raw total energies**: 0.3144 eV per atom